The following is a DFT calculation (GGA-PBE) of a relaxed PrThCuNi crystal.

The space group is F-43m (No. 216) and the conventional cell measures 7.102, 7.102 and 7.102 Å, with angles of 90.00, 90.00 and 90.00 degrees. Symmetry generates all atoms from Pr at (0.000, 0.000, 0.000), Th at (0.000, 0.000, 0.500), Cu at (0.250, 0.250, 0.250) and Ni at (0.250, 0.250, 0.750).

For the calculated volume, the calculation gives 358 Å³/cell. The total energy comes out at -5.653 eV/atom.

---

The following is a DFT calculation (GGA-PBE) of a relaxed PrTmCuNi crystal.

The space group is F-43m (No. 216) and the conventional cell measures 6.950, 6.950 and 6.950 Å, with angles of 90.00, 90.00 and 90.00 degrees. Symmetry generates all atoms from Pr at (0.000, 0.000, 0.000), Tm at (0.000, 0.000, 0.500), Cu at (0.250, 0.250, 0.750) and Ni at (0.250, 0.250, 0.250).

For the calculated volume, the calculation gives 336 Å³/cell. For the distance to the lowest polymorph of the same formula, the calculation gives 0.035 eV/atom.

---

The following is a DFT calculation (GGA-PBE) of a relaxed PrTmCuNi crystal.

The space group is Amm2 (No. 38) and the conventional cell measures 4.429, 3.787 and 10.348 Å, with angles of 90.00, 90.00 and 90.00 degrees. Symmetry generates all atoms from Pr at (0.000, 0.000, 0.000), Tm at (0.500, 0.000, 0.721), Cu at (0.500, 0.000, 0.424) and Ni at (0.000, 0.000, 0.284).

For the calculated volume, the calculation gives 174 Å³/cell. For the distance to the lowest polymorph of the same formula, the calculation gives 0.000 eV/atom.

---

The following is a DFT calculation (GGA-PBE) of a relaxed PrYCuNi crystal.

The space group is F-43m (No. 216) and the conventional cell measures 7.014, 7.014 and 7.014 Å, with angles of 90.00, 90.00 and 90.00 degrees. Symmetry generates all atoms from Pr at (0.000, 0.000, 0.000), Y at (0.000, 0.000, 0.500), Cu at (0.250, 0.250, 0.750) and Ni at (0.250, 0.250, 0.250).

For the calculated volume, the calculation gives 345 Å³/cell. For the distance to the lowest polymorph of the same formula, the calculation gives 0.056 eV/atom.

---

The following is a DFT calculation (GGA-PBE) of a relaxed PrYCuNi crystal.

The space group is Amm2 (No. 38) and the conventional cell measures 4.412, 3.802 and 10.633 Å, with angles of 90.00, 90.00 and 90.00 degrees. Symmetry generates all atoms from Pr at (0.000, 0.000, 0.000), Y at (0.500, 0.000, 0.724), Cu at (0.000, 0.000, 0.288) and Ni at (0.500, 0.000, 0.425).

For the calculated volume, the calculation gives 178 Å³/cell. For the distance to the lowest polymorph of the same formula, the calculation gives 0.000 eV/atom.

---

The following is a DFT calculation (GGA-PBE) of a relaxed Pr2ZnCu3Ni12 crystal.

The space group is R-3m (No. 166, hexagonal axes) and the conventional cell measures 6.0185, 6.0185 and 25.4666 Å, with angles of 90.00, 90.00 and 120.00 degrees. Symmetry generates all atoms from Pr at (0.0000, 0.0000, 0.1545), Zn at (0.0000, 0.0000, 0.5000), Cu at (0.0000, 0.5000, 0.0000), Ni at (0.0579, 0.5290, 0.0936) and Ni at (0.0746, 0.5373, 0.6160).

For the calculated volume, the calculation gives 799 Å³/cell. The total energy comes out at -4.911 eV/atom.

---

The following is a DFT calculation (GGA-PBE) of a relaxed PrZn2CuNi4 crystal.

The space group is R-3m (No. 166, hexagonal axes) and the conventional cell measures 4.0759, 4.0759 and 24.6006 Å, with angles of 90.00, 90.00 and 120.00 degrees. Symmetry generates all atoms from Pr at (0.0000, 0.0000, 0.0000), Zn at (0.0000, 0.0000, 0.2337), Cu at (0.0000, 0.0000, 0.5000), Ni at (0.0000, 0.0000, 0.1277) and Ni at (0.0000, 0.0000, 0.4051).

For the calculated volume, the calculation gives 354 Å³/cell. The total energy comes out at -4.485 eV/atom.

---

The following is a DFT calculation (GGA-PBE) of a relaxed Pr2ZnCu6Ni crystal.

The space group is C2/m (No. 12) and the conventional cell measures 11.941, 4.902 and 8.457 Å, with angles of 90.00, 134.00 and 90.00 degrees. Symmetry generates all atoms from Pr at (0.235, 0.000, 0.194), Zn at (0.000, 0.000, 0.500), Cu at (0.012, 0.252, 0.262), Cu at (0.248, 0.500, 0.417) and Ni at (0.000, 0.500, 0.000).

For the calculated volume, the calculation gives 356 Å³/cell. The total energy comes out at -4.221 eV/atom.

---

The following is a DFT calculation (GGA-PBE) of a relaxed Pr2Zn2Cu5Ni crystal.

The space group is P4/mbm (No. 127) and the conventional cell measures 10.217, 10.217 and 3.237 Å, with angles of 90.00, 90.00 and 90.00 degrees. Symmetry generates all atoms from Pr at (0.176, 0.324, 0.000), Zn at (0.126, 0.626, 0.000), Cu at (0.000, 0.500, 0.500), Cu at (0.053, 0.820, 0.500) and Ni at (0.000, 0.000, 0.000).

For the calculated volume, the calculation gives 338 Å³/cell. The total energy comes out at -3.845 eV/atom.

---

The following is a DFT calculation (GGA-PBE) of a relaxed PrZnCu3Ni crystal.

The space group is Cmcm (No. 63) and the conventional cell measures 5.229, 14.997 and 5.072 Å, with angles of 90.00, 90.00 and 90.00 degrees. Symmetry generates all atoms from Pr at (0.000, 0.191, 0.250), Zn at (0.000, 0.387, 0.250), Cu at (0.000, 0.383, 0.750), Cu at (0.235, 0.000, 0.000) and Ni at (0.000, 0.121, 0.750).

For the calculated volume, the calculation gives 398 Å³/cell. The total energy comes out at -4.071 eV/atom.

---

The following is a DFT calculation (GGA-PBE) of a relaxed PrZnCuNi2 crystal.

The space group is Imm2 (No. 44) and the conventional cell measures 3.890, 3.935 and 10.837 Å, with angles of 90.00, 90.00 and 90.00 degrees. Symmetry generates all atoms from Pr at (0.000, 0.000, 0.000), Zn at (0.000, 0.500, 0.758), Cu at (0.000, 0.000, 0.621), Ni at (0.000, 0.000, 0.396) and Ni at (0.000, 0.500, 0.264).

For the calculated volume, the calculation gives 166 Å³/cell. The total energy comes out at -4.556 eV/atom.

---

The following is a DFT calculation (GGA-PBE) of a relaxed Pr2Zn2CuNi5 crystal.

The space group is P4/mbm (No. 127) and the conventional cell measures 9.419, 9.419 and 3.594 Å, with angles of 90.00, 90.00 and 90.00 degrees. Symmetry generates all atoms from Pr at (0.182, 0.318, 0.000), Zn at (0.116, 0.616, 0.000), Cu at (0.000, 0.000, 0.000), Ni at (0.000, 0.500, 0.500) and Ni at (0.054, 0.803, 0.500).

For the calculated volume, the calculation gives 319 Å³/cell. The total energy comes out at -4.593 eV/atom.